## w
# GGA+U KMo3F, optimized geometry
data_KMo3F
_cell_length_a 5.222
_cell_length_b 5.222
_cell_length_c 5.222
_cell_angle_alpha 90.00
_cell_angle_beta 90.00
_cell_angle_gamma 90.00
_space_group_name_H-M_alt 'P m -3 m'
_space_group_IT_number 221
_space_group_name_Hall '-P 4 2 3'
loop_
_atom_site_label
_atom_site_type_symbol
_atom_site_fract_x
_atom_site_fract_y
_atom_site_fract_z
K1 K 0.000 0.000 0.000
Mo1 Mo 0.000 0.500 0.500
F1 F 0.500 0.500 0.500
# Size of the total moment, μB per formula unit: 14.4

## x
# GGA+U KMo3F, optimized geometry
data_KMo3F
_cell_length_a 6.302
_cell_length_b 6.302
_cell_length_c 6.302
_cell_angle_alpha 90.00
_cell_angle_beta 90.00
_cell_angle_gamma 90.00
_space_group_name_H-M_alt 'P m -3 m'
_space_group_IT_number 221
_space_group_name_Hall '-P 4 2 3'
loop_
_atom_site_label
_atom_site_type_symbol
_atom_site_fract_x
_atom_site_fract_y
_atom_site_fract_z
K1 K 0.000 0.000 0.000
Mo1 Mo 0.000 0.000 0.500
F1 F 0.500 0.500 0.500
# Size of the total moment, μB per formula unit: 16.0

Bottom line: w, by a margin of 1.009 eV/atom.

## w
# GGA+U KMoF2, optimized geometry
data_KMoF2
_cell_length_a 3.6769
_cell_length_b 3.6769
_cell_length_c 21.8119
_cell_angle_alpha 90.00
_cell_angle_beta 90.00
_cell_angle_gamma 120.00
_space_group_name_H-M_alt 'R -3 m'
_space_group_IT_number 166
_space_group_name_Hall '-R 3 2"'
loop_
_atom_site_label
_atom_site_type_symbol
_atom_site_fract_x
_atom_site_fract_y
_atom_site_fract_z
K1 K 0.0000 0.0000 0.0000
Mo1 Mo 0.0000 0.0000 0.5000
F1 F 0.0000 0.0000 0.4032
# Size of the total moment, μB per formula unit: 4.2

## x
# GGA+U KMoF2, optimized geometry
data_KMoF2
_cell_length_a 6.438
_cell_length_b 6.438
_cell_length_c 8.479
_cell_angle_alpha 90.00
_cell_angle_beta 90.00
_cell_angle_gamma 90.00
_space_group_name_H-M_alt 'I -4 2 d'
_space_group_IT_number 122
_space_group_name_Hall 'I -4 2bw'
loop_
_atom_site_label
_atom_site_type_symbol
_atom_site_fract_x
_atom_site_fract_y
_atom_site_fract_z
K1 K 0.000 0.000 0.000
Mo1 Mo 0.000 0.000 0.500
F1 F 0.225 0.250 0.625
# Size of the total moment, μB per formula unit: 5.0

Bottom line: w, by a margin of 0.319 eV/atom.

## w
# GGA+U K3MoF8, optimized geometry
data_K3MoF8
_cell_length_a 5.833
_cell_length_b 5.833
_cell_length_c 5.833
_cell_angle_alpha 90.00
_cell_angle_beta 90.00
_cell_angle_gamma 90.00
_space_group_name_H-M_alt 'P m -3 m'
_space_group_IT_number 221
_space_group_name_Hall '-P 4 2 3'
loop_
_atom_site_label
_atom_site_type_symbol
_atom_site_fract_x
_atom_site_fract_y
_atom_site_fract_z
K1 K 0.000 0.000 0.500
Mo1 Mo 0.500 0.500 0.500
F1 F 0.295 0.295 0.295
# Size of the total moment, μB per formula unit: 1.0

## x
# GGA+U K3MoF8, optimized geometry
data_K3MoF8
_cell_length_a 5.875
_cell_length_b 5.875
_cell_length_c 11.571
_cell_angle_alpha 90.00
_cell_angle_beta 90.00
_cell_angle_gamma 90.00
_space_group_name_H-M_alt 'I 4/m m m'
_space_group_IT_number 139
_space_group_name_Hall '-I 4 2'
loop_
_atom_site_label
_atom_site_type_symbol
_atom_site_fract_x
_atom_site_fract_y
_atom_site_fract_z
K1 K 0.000 0.000 0.000
K2 K 0.000 0.500 0.250
Mo1 Mo 0.000 0.000 0.500
F1 F 0.202 0.202 0.396
# Size of the total moment, μB per formula unit: 1.0

Bottom line: x, by a margin of 0.055 eV/atom.